6
Lattice="3.679 0.000 0.000 0.000 3.679 0.000 0.000 0.000 14.451" Properties=species:S:1:pos:R:3 comment="Nd4ErMg, relaxed, DFT PBE" final_energy_ev_per_atom=-4.22 formation_energy_ev_per_atom=-0.020 crystal_system=tetragonal pbc="T T T"
Nd 0.000 0.000 2.197
Nd 0.000 0.000 12.254
Nd 1.839 1.839 4.738
Nd 1.839 1.839 9.713
Er 0.000 0.000 7.226
Mg 1.839 1.839 0.000


5
Lattice="-1.802 1.802 11.978 1.802 -1.802 11.978 1.802 1.802 -11.978" Properties=species:S:1:pos:R:3 comment="Nd2Er2Mg, relaxed, DFT PBE" final_energy_ev_per_atom=-4.07 formation_energy_ev_per_atom=-0.019 crystal_system=tetragonal pbc="T T T"
Nd 0.000 0.000 2.274
Nd 0.000 0.000 21.681
Er 0.000 0.000 7.207
Er 0.000 0.000 16.749
Mg 0.000 0.000 11.978


19
Lattice="7.751 -4.616 0.000 7.751 4.616 0.000 -0.234 0.000 8.398" Properties=species:S:1:pos:R:3 comment="Nd5Er12Mg2, relaxed, DFT PBE" final_energy_ev_per_atom=-4.21 formation_energy_ev_per_atom=0.093 crystal_system=monoclinic pbc="T T T"
Nd 0.000 0.000 0.000
Nd 3.612 0.000 0.621
Nd 4.435 0.000 4.050
Nd 10.834 0.000 4.347
Nd 11.657 0.000 7.777
Er 5.440 2.947 2.189
Er 1.092 0.000 3.179
Er 5.590 1.761 6.937
Er 9.829 2.947 6.209
Er 9.679 1.761 1.461
Er 6.837 0.000 1.402
Er 8.432 0.000 6.996
Er 5.590 -1.761 6.937
Er 5.440 -2.947 2.189
Er 9.679 -1.761 1.461
Er 14.177 0.000 5.219
Er 9.829 -2.947 6.209
Mg 7.634 1.551 4.199
Mg 7.634 -1.551 4.199